1.
Entry from the Alexandria database: an optimized crystal structure of Ho2BeB2Ir5 (PBE).

Unit cell a=9.5098 b=9.5098 c=3.0695 alpha=90.00 beta=90.00 gamma=90.00
Positions (direct):
Ho 0.1772 0.3228 0.0000
Ho 0.3228 0.8228 0.0000
Ho 0.6772 0.1772 0.0000
Ho 0.8228 0.6772 0.0000
Be 0.0000 0.0000 0.0000
Be 0.5000 0.5000 0.0000
B 0.1250 0.6250 0.0000
B 0.3750 0.1250 0.0000
B 0.6250 0.8750 0.0000
B 0.8750 0.3750 0.0000
Ir 0.0000 0.5000 0.5000
Ir 0.0659 0.7879 0.5000
Ir 0.2121 0.0659 0.5000
Ir 0.2879 0.5659 0.5000
Ir 0.4341 0.2879 0.5000
Ir 0.5000 0.0000 0.5000
Ir 0.5659 0.7121 0.5000
Ir 0.7121 0.4341 0.5000
Ir 0.7879 0.9341 0.5000
Ir 0.9341 0.2121 0.5000

Output
energy of formation from the pure elements = -66.10 kJ per mole of atoms
theoretical density = 15.81 g/cm³
space group = P4/mbm (127)
D(E_F) = 6.67 states/eV/cell

2.
Entry from the Alexandria database: an optimized crystal structure of LiCuSe (PBE).

Unit cell a=4.0564 b=4.0564 c=3.8702 alpha=90.00 beta=90.00 gamma=120.00
Positions (direct):
Li 0.0000 0.0000 0.0000
Cu 0.6667 0.3333 0.5000
Se 0.3333 0.6667 0.5000

Output
formation energy without anion corrections = -1.71 eV/f.u.
theoretical density = 4.50 g/cm³
space group = P-6m2 (187)
D(E_F) = 0.17 states/eV/cell

3.
Entry from the Alexandria database: an optimized crystal structure of ZrCrCd2 (PBE).

Unit cell a=5.1787 b=5.1787 c=5.1787 alpha=129.76 beta=129.76 gamma=73.79
Positions (direct):
Zr 0.0000 0.0000 0.0000
Cr 0.7500 0.2500 0.5000
Cd 0.2500 0.7500 0.5000
Cd 0.5000 0.5000 0.0000

Output
energy of formation from the pure elements = 24.01 kJ per mole of atoms
E above lowest polymorph = 126.9 meV per atom
theoretical density = 7.63 g/cm³
space group = I-4m2 (119)
D(E_F) = 4.47 states/eV/cell

4.
Entry from the Alexandria database: an optimized crystal structure of La3MgTe6 (PBE).

Unit cell a=9.7366 b=9.7366 c=7.7943 alpha=90.00 beta=90.00 gamma=99.37
Positions (direct):
La 0.0997 0.9003 0.5000
La 0.2248 0.4201 0.3980
La 0.4201 0.2248 0.8980
La 0.5799 0.7752 0.3980
La 0.7752 0.5799 0.8980
La 0.9003 0.0997 0.0000
Mg 0.2943 0.7057 0.8674
Mg 0.7057 0.2943 0.3674
Te 0.0559 0.5934 0.6775
Te 0.1250 0.2022 0.7001
Te 0.2022 0.1250 0.2001
Te 0.2715 0.7285 0.2259
Te 0.4066 0.9441 0.6775
Te 0.4650 0.5350 0.7008
Te 0.5350 0.4650 0.2008
Te 0.5934 0.0559 0.1775
Te 0.7285 0.2715 0.7259
Te 0.7978 0.8750 0.7001
Te 0.8750 0.7978 0.2001
Te 0.9441 0.4066 0.1775

Output
formation energy without anion corrections = -12.96 eV/f.u.
theoretical density = 5.50 g/cm³
space group = Cmc2_1 (36)
D(E_F) = 12.09 states/eV/cell

5.
Entry from the Alexandria database: an optimized crystal structure of YTl2Zn (PBE).

Unit cell a=3.7284 b=3.7284 c=7.2565 alpha=90.00 beta=90.00 gamma=97.23
Positions (direct):
Y 0.0000 0.0000 0.0000
Tl 0.5000 0.5000 0.2779
Tl 0.5000 0.5000 0.7221
Zn 0.0000 0.0000 0.5000

Output
energy of formation from the pure elements = -7.17 kJ per mole of atoms
theoretical density = 9.34 g/cm³
space group = Cmmm (65)
D(E_F) = 2.11 states/eV/cell

6.
Entry from the Alexandria database: an optimized crystal structure of PaNiBRu2 (PBE).

Unit cell a=4.2277 b=4.2277 c=3.9850 alpha=90.00 beta=90.00 gamma=90.00
Positions (direct):
Pa 0.0000 0.0000 0.0000
Ni 0.5000 0.5000 0.0000
B 0.5000 0.5000 0.5000
Ru 0.0000 0.5000 0.5000
Ru 0.5000 0.0000 0.5000

Output
energy of formation from the pure elements = -53.44 kJ per mole of atoms
theoretical density = 11.72 g/cm³
space group = P4/mmm (123)
D(E_F) = 1.10 states/eV/cell

7.
Entry from the Alexandria database: an optimized crystal structure of Rb2PI (PBE).

Unit cell a=8.1753 b=8.1753 c=8.1753 alpha=110.09 beta=110.09 gamma=108.24
Positions (direct):
Rb 0.1107 0.6250 0.9857
Rb 0.3750 0.3607 0.4857
Rb 0.6393 0.1250 0.0143
Rb 0.8750 0.8893 0.5143
P 0.0000 0.0000 0.0000
P 0.7500 0.2500 0.5000
I 0.2500 0.7500 0.5000
I 0.5000 0.5000 0.0000

Output
formation energy without anion corrections = -1.29 eV/f.u.
E above lowest polymorph = 30.4 meV per atom
theoretical density = 2.60 g/cm³
space group = I-42d (122)
D(E_F) = 1.38 states/eV/cell

8.
Entry from the Alexandria database: an optimized crystal structure of Pr2SmDy4Mg (PBE).

Unit cell a=4.9966 b=5.0099 c=10.2363 alpha=90.00 beta=90.00 gamma=90.00
Positions (direct):
Pr 0.0000 0.0000 0.0000
Pr 0.5000 0.5000 0.5000
Sm 0.0000 0.0000 0.5000
Dy 0.0000 0.5000 0.2478
Dy 0.0000 0.5000 0.7522
Dy 0.5000 0.0000 0.2479
Dy 0.5000 0.0000 0.7521
Mg 0.5000 0.5000 0.0000

Output
energy of formation from the pure elements = 2.85 kJ per mole of atoms
theoretical density = 7.17 g/cm³
space group = Pmmm (47)
D(E_F) = 12.11 states/eV/cell

9.
Entry from the Alexandria database: an optimized crystal structure of Ac3CuPt (PBE).

Unit cell a=11.0306 b=11.0306 c=7.2754 alpha=98.78 beta=98.78 gamma=21.80
Positions (direct):
Ac 0.0097 0.0097 0.2469
Ac 0.1800 0.1800 0.1257
Ac 0.3644 0.3644 0.3798
Ac 0.6356 0.6356 0.6202
Ac 0.8200 0.8200 0.8743
Ac 0.9903 0.9903 0.7531
Cu 0.2406 0.2406 0.5876
Cu 0.7594 0.7594 0.4124
Pt 0.4232 0.4232 0.9916
Pt 0.5768 0.5768 0.0084

Output
energy of formation from the pure elements = -48.11 kJ per mole of atoms
theoretical density = 9.61 g/cm³
space group = C2/m (12)
D(E_F) = 10.82 states/eV/cell

10.
Entry from the Alexandria database: an optimized crystal structure of Tl2InBi6 (PBE).

Unit cell a=9.9380 b=9.9380 c=3.3766 alpha=90.00 beta=90.00 gamma=119.92
Positions (direct):
Tl 0.1667 0.8333 0.0000
Tl 0.8333 0.1667 0.0000
In 0.5000 0.5000 0.0000
Bi 0.1677 0.1677 0.5000
Bi 0.1682 0.5002 0.5000
Bi 0.5002 0.1682 0.5000
Bi 0.4998 0.8318 0.5000
Bi 0.8318 0.4998 0.5000
Bi 0.8323 0.8323 0.5000

Output
energy of formation from the pure elements = -0.87 kJ per mole of atoms
theoretical density = 10.21 g/cm³
space group = Cmmm (65)
D(E_F) = 2.81 states/eV/cell

11.
Entry from the Alexandria database: an optimized crystal structure of BaCa2Th (PBE).

Unit cell a=3.7686 b=3.7686 c=11.8413 alpha=90.00 beta=90.00 gamma=90.00
Positions (direct):
Ba 0.0000 0.0000 0.0000
Ca 0.5000 0.5000 0.2817
Ca 0.5000 0.5000 0.7183
Th 0.0000 0.0000 0.5000

Output
energy of formation from the pure elements = 19.33 kJ per mole of atoms
E above lowest polymorph = 0.0 meV per atom
theoretical density = 4.44 g/cm³
space group = P4/mmm (123)
D(E_F) = 5.87 states/eV/cell

12.
Entry from the Alexandria database: an optimized crystal structure of CaAl3Au3 (PBE).

Unit cell a=7.8201 b=4.6422 c=8.5181 alpha=90.00 beta=117.29 gamma=90.00
Positions (direct):
Ca 0.0801 0.2500 0.3524
Ca 0.9199 0.7500 0.6476
Al 0.2676 0.2500 0.0763
Al 0.3710 0.7500 0.9340
Al 0.4508 0.7500 0.3563
Al 0.5492 0.2500 0.6437
Al 0.6290 0.2500 0.0660
Al 0.7324 0.7500 0.9237
Au 0.1236 0.7500 0.0818
Au 0.2731 0.2500 0.7700
Au 0.3748 0.7500 0.6186
Au 0.6252 0.2500 0.3814
Au 0.7269 0.7500 0.2300
Au 0.8764 0.2500 0.9182

Output
energy of formation from the pure elements = -50.97 kJ per mole of atoms
E above lowest polymorph = 0.0 meV per atom
theoretical density = 8.60 g/cm³
space group = P2_1/m (11)
D(E_F) = 6.24 states/eV/cell

no.,spin magnetization (μB per formula unit)
1,0.0
2,0.0
3,3.3
4,0.0
5,0.5
6,0.0
7,2.0
8,0.0
9,0.0
10,0.0
11,0.0
12,0.0